No. 1
Below is a relaxed YSc3Ag crystal, with properties calculated at the PBE-GGA level.

## Properties
As for the formation energy: 1028 meV per atom. Its density of states at the Fermi level is 1.72 states/eV/atom. The calculation puts the total energy at -0.170 hartree per atom. As for the polymorph energy (0 for the lowest one): 1035.9 meV/atom.

Cell lengths 5.226, 5.226, 5.226 Å; angles 90.00, 90.00, 90.00 degrees
Positions (direct):
Y 0.000 0.000 0.000
Sc 0.000 0.000 0.500
Sc 0.000 0.500 0.000
Sc 0.500 0.000 0.000
Ag 0.500 0.500 0.500


No. 2
Below is a relaxed BaPrS2 crystal, with properties calculated at the PBE-GGA level.

## Properties
Its raw formation energy is -1.890 eV per atom. Its density of states at the Fermi level is 0.51 states/eV/atom. The calculation puts the total energy at -0.207 hartree per atom. As for the polymorph energy (0 for the lowest one): 131.3 meV/atom.

Cell lengths 4.202, 4.202, 7.552 Å; angles 90.00, 90.00, 120.00 degrees
Positions (direct):
Ba 0.000 0.000 0.000
Pr 0.000 0.000 0.500
S 0.333 0.667 0.722
S 0.667 0.333 0.278


No. 3
Below is a relaxed Er3GaHg2 crystal, with properties calculated at the PBE-GGA level.

## Properties
As for the formation energy: -503 meV per atom. Its density of states at the Fermi level is 0.94 states/eV/atom. The calculation puts the total energy at -0.125 hartree per atom.

Cell lengths 3.643, 3.643, 10.930 Å; angles 90.00, 90.00, 90.00 degrees
Positions (direct):
Er 0.000 0.000 0.000
Er 0.000 0.000 0.343
Er 0.000 0.000 0.657
Ga 0.500 0.500 0.500
Hg 0.500 0.500 0.170
Hg 0.500 0.500 0.830


Q: Which formula does entry 2 have?
A: BaPrS2